# 1
! GGA-PBE MnTe2Au, relaxed; values from VASP
&SYSTEM
  ibrav = 0, nat = 4, ntyp = 3
/
ATOMIC_SPECIES
Au 196.97 Au.upf
Mn 54.94 Mn.upf
Te 127.60 Te.upf
CELL_PARAMETERS angstrom
-2.702 1.765 -0.311
0.234 -1.603 -2.808
-5.163 -7.250 3.707
ATOMIC_POSITIONS angstrom
Au -2.812 -3.948 2.019
Mn -4.977 -5.175 1.128
Te -4.749 -6.668 3.409
Te -2.837 -2.170 -0.408
! Calculated volume: 24.56 Å³ per atom
! Mass density: 8.57 g cm⁻³
! Formation energy without anion corrections: 0.109 eV per atom
! Energy above the most stable polymorph in this dataset: 19.2 kJ/mol of atoms

=====

# 2
! GGA-PBE KAl5, relaxed; values from VASP
&SYSTEM
  ibrav = 0, nat = 6, ntyp = 2
/
ATOMIC_SPECIES
K 39.10 K.upf
Al 26.98 Al.upf
CELL_PARAMETERS angstrom
2.078 -4.295 -3.041
-3.207 -4.546 -1.035
-1.939 -0.964 -5.228
ATOMIC_POSITIONS angstrom
K 0.000 0.000 0.000
Al -0.767 -2.451 -2.326
Al -1.917 -6.127 -5.814
Al -2.955 -3.981 -4.295
Al -0.315 -3.856 -5.297
Al -0.948 -5.646 -3.203
! Calculated volume: 21.35 Å³ per atom
! Mass density: 2.26 g cm⁻³
! Energy above the most stable polymorph in this dataset: 16.5 kJ/mol of atoms
! E_form: 0.28 eV per atom